# Nd3Mg2UN6, optimized geometry, DFT GGA-PBE
# - ΔE_f (raw) (meV per atom) = -1153
# - total magnetization (μB per formula unit) = 0.000
# - SG = C2/m, No. 12
data_Nd3Mg2UN6
_symmetry_space_group_name_H-M 'P 1'
_symmetry_Int_Tables_number 1
_symmetry_space_group_name_Hall 'P 1'
_cell_length_a 5.9780
_cell_length_b 5.9780
_cell_length_c 6.0508
_cell_angle_alpha 99.11
_cell_angle_beta 99.11
_cell_angle_gamma 120.24
loop_
_atom_site_label
_atom_site_type_symbol
_atom_site_fract_x
_atom_site_fract_y
_atom_site_fract_z
Nd1 Nd 0.0000 0.0000 0.0000
Nd2 Nd 0.3281 0.6719 0.0000
Nd3 Nd 0.6719 0.3281 0.0000
Mg1 Mg 0.1662 0.8338 0.5000
Mg2 Mg 0.8338 0.1662 0.5000
U1 U 0.5000 0.5000 0.5000
N1 N 0.1136 0.4229 0.2744
N2 N 0.2695 0.2695 0.7285
N3 N 0.4229 0.1136 0.2744
N4 N 0.5771 0.8864 0.7256
N5 N 0.7305 0.7305 0.2715
N6 N 0.8864 0.5771 0.7256

=====

# Nd2MgUN4, optimized geometry, DFT GGA-PBE
# - ΔE_f (raw) (meV per atom) = -1216
# - total magnetization (μB per formula unit) = 0.083
# - SG = P2/m, No. 10
data_Nd2MgUN4
_symmetry_space_group_name_H-M 'P 1'
_symmetry_Int_Tables_number 1
_symmetry_space_group_name_Hall 'P 1'
_cell_length_a 5.7814
_cell_length_b 3.5390
_cell_length_c 6.0850
_cell_angle_alpha 90.00
_cell_angle_beta 107.93
_cell_angle_gamma 90.00
loop_
_atom_site_label
_atom_site_type_symbol
_atom_site_fract_x
_atom_site_fract_y
_atom_site_fract_z
Nd1 Nd 0.0000 0.0000 0.0000
Nd2 Nd 0.5000 0.5000 0.0000
Mg1 Mg 0.0000 0.5000 0.5000
U1 U 0.5000 0.0000 0.5000
N1 N 0.2659 0.0000 0.7169
N2 N 0.2694 0.5000 0.2892
N3 N 0.7306 0.5000 0.7108
N4 N 0.7341 0.0000 0.2831

=====

# NdMg2VN4, optimized geometry, DFT GGA-PBE
# - ΔE_f (raw) (meV per atom) = -1063
# - total magnetization (μB per formula unit) = 0.000
# - SG = Pmn2_1, No. 31
data_NdMg2VN4
_symmetry_space_group_name_H-M 'P 1'
_symmetry_Int_Tables_number 1
_symmetry_space_group_name_Hall 'P 1'
_cell_length_a 7.0607
_cell_length_b 5.9411
_cell_length_c 5.3772
_cell_angle_alpha 90.00
_cell_angle_beta 90.00
_cell_angle_gamma 90.00
loop_
_atom_site_label
_atom_site_type_symbol
_atom_site_fract_x
_atom_site_fract_y
_atom_site_fract_z
Nd1 Nd 0.0000 0.1468 0.0000
Nd2 Nd 0.5000 0.8532 0.5000
Mg1 Mg 0.2459 0.3394 0.5143
Mg2 Mg 0.2541 0.6606 0.0143
Mg3 Mg 0.7459 0.6606 0.0143
Mg4 Mg 0.7541 0.3394 0.5143
V1 V 0.0000 0.8089 0.5221
V2 V 0.5000 0.1911 0.0221
N1 N 0.0000 0.1205 0.4676
N2 N 0.0000 0.7772 0.8575
N3 N 0.2119 0.6728 0.4009
N4 N 0.2881 0.3272 0.9009
N5 N 0.5000 0.2228 0.3575
N6 N 0.5000 0.8795 0.9676
N7 N 0.7119 0.3272 0.9009
N8 N 0.7881 0.6728 0.4009

=====

# NdMg2WN4, optimized geometry, DFT GGA-PBE
# - ΔE_f (raw) (meV per atom) = -850
# - total magnetization (μB per formula unit) = 0.000
# - SG = Pmn2_1, No. 31
data_NdMg2WN4
_symmetry_space_group_name_H-M 'P 1'
_symmetry_Int_Tables_number 1
_symmetry_space_group_name_Hall 'P 1'
_cell_length_a 7.2587
_cell_length_b 6.0728
_cell_length_c 5.3786
_cell_angle_alpha 90.00
_cell_angle_beta 90.00
_cell_angle_gamma 90.00
loop_
_atom_site_label
_atom_site_type_symbol
_atom_site_fract_x
_atom_site_fract_y
_atom_site_fract_z
Nd1 Nd 0.0000 0.1485 0.0000
Nd2 Nd 0.5000 0.8515 0.5000
Mg1 Mg 0.2465 0.3386 0.5252
Mg2 Mg 0.2535 0.6614 0.0252
Mg3 Mg 0.7465 0.6614 0.0252
Mg4 Mg 0.7535 0.3386 0.5252
W1 W 0.0000 0.8142 0.5235
W2 W 0.5000 0.1858 0.0235
N1 N 0.0000 0.1405 0.4901
N2 N 0.0000 0.7714 0.8765
N3 N 0.2145 0.6677 0.4139
N4 N 0.2855 0.3323 0.9139
N5 N 0.5000 0.2286 0.3765
N6 N 0.5000 0.8595 0.9901
N7 N 0.7145 0.3323 0.9139
N8 N 0.7855 0.6677 0.4139

=====

# NdY2MgN, optimized geometry, DFT GGA-PBE
# - ΔE_f (raw) (meV per atom) = -677
# - total magnetization (μB per formula unit) = 0.000
# - SG = P4/mmm, No. 123
data_NdY2MgN
_symmetry_space_group_name_H-M 'P 1'
_symmetry_Int_Tables_number 1
_symmetry_space_group_name_Hall 'P 1'
_cell_length_a 4.8706
_cell_length_b 4.8706
_cell_length_c 5.1195
_cell_angle_alpha 90.00
_cell_angle_beta 90.00
_cell_angle_gamma 90.00
loop_
_atom_site_label
_atom_site_type_symbol
_atom_site_fract_x
_atom_site_fract_y
_atom_site_fract_z
Nd1 Nd 0.0000 0.0000 0.0000
Y1 Y 0.0000 0.5000 0.5000
Y2 Y 0.5000 0.0000 0.5000
Mg1 Mg 0.5000 0.5000 0.0000
N1 N 0.0000 0.0000 0.5000

=====

# MgNi5N4, optimized geometry, DFT GGA-PBE
# - ΔE_f (raw) (meV per atom) = 200
# - total magnetization (μB per formula unit) = 0.000
# - SG = Pmmn, No. 59
data_MgNi5N4
_symmetry_space_group_name_H-M 'P 1'
_symmetry_Int_Tables_number 1
_symmetry_space_group_name_Hall 'P 1'
_cell_length_a 5.9945
_cell_length_b 7.7868
_cell_length_c 4.3552
_cell_angle_alpha 90.00
_cell_angle_beta 90.00
_cell_angle_gamma 90.00
loop_
_atom_site_label
_atom_site_type_symbol
_atom_site_fract_x
_atom_site_fract_y
_atom_site_fract_z
Mg1 Mg 0.2500 0.2500 0.1701
Mg2 Mg 0.7500 0.7500 0.8299
Ni1 Ni 0.0315 0.5826 0.2345
Ni2 Ni 0.0315 0.9174 0.2345
Ni3 Ni 0.2500 0.7500 0.8167
Ni4 Ni 0.4685 0.5826 0.2345
Ni5 Ni 0.4685 0.9174 0.2345
Ni6 Ni 0.5315 0.0826 0.7655
Ni7 Ni 0.5315 0.4174 0.7655
Ni8 Ni 0.7500 0.2500 0.1833
Ni9 Ni 0.9685 0.0826 0.7655
Ni10 Ni 0.9685 0.4174 0.7655
N1 N 0.0103 0.7500 0.5242
N2 N 0.2500 0.5062 0.9329
N3 N 0.2500 0.9938 0.9329
N4 N 0.4897 0.7500 0.5242
N5 N 0.5103 0.2500 0.4758
N6 N 0.7500 0.0062 0.0671
N7 N 0.7500 0.4938 0.0671
N8 N 0.9897 0.2500 0.4758

=====

Number 6 is which compound?
MgNi5N4